Entry P
Entry from Alexandria via LeMat-Bulk: a relaxed Ho4ZnGa2 crystal (PBE).

```
data_Ho4ZnGa2
_chemical_formula_sum 'Ho12 Zn3 Ga6'
_cell_length_a 4.9615
_cell_length_b 4.9615
_cell_length_c 25.5655
_cell_angle_alpha 90.00
_cell_angle_beta 90.00
_cell_angle_gamma 120.00
_symmetry_space_group_name_H-M 'R -3 m'
_symmetry_Int_Tables_number 166
_symmetry_space_group_name_Hall '-R 3 2"'
loop_
_atom_site_label
_atom_site_type_symbol
_atom_site_fract_x
_atom_site_fract_y
_atom_site_fract_z
_atom_site_occupancy
Ho1 Ho 0.0000 0.0000 0.1246 1
Ho2 Ho 0.0000 0.0000 0.2904 1
Zn1 Zn 0.0000 0.0000 0.5000 1
Ga1 Ga 0.0000 0.0000 0.4049 1
```

Calculated values
M_tot: 0.00 μB/f.u.
Crystal system: trigonal

Entry Q
Entry from Alexandria via LeMat-Bulk: a relaxed Ho4ZnGa2 crystal (PBE).

```
data_Ho4ZnGa2
_chemical_formula_sum 'Ho8 Zn2 Ga4'
_cell_length_a 7.0094
_cell_length_b 7.0094
_cell_length_c 7.1418
_cell_angle_alpha 90.00
_cell_angle_beta 90.00
_cell_angle_gamma 90.00
_symmetry_space_group_name_H-M 'I 4/m m m'
_symmetry_Int_Tables_number 139
_symmetry_space_group_name_Hall '-I 4 2'
loop_
_atom_site_label
_atom_site_type_symbol
_atom_site_fract_x
_atom_site_fract_y
_atom_site_fract_z
_atom_site_occupancy
Ho1 Ho 0.2500 0.2500 0.2500 1
Zn1 Zn 0.0000 0.0000 0.0000 1
Ga1 Ga 0.0000 0.5000 0.0000 1
```

Calculated values
M_tot: 0.00 μB/f.u.
Crystal system: tetragonal

Which is most stable, and by how much? entry Q, by 0.111 eV/atom.